First-principles (PBE-GGA) data for crystalline KYPt2 at its relaxed geometry, as listed in Alexandria.

a = 4.2980 Å, b = 4.2980 Å, c = 9.3653 Å
α = 90.00°, β = 90.00°, γ = 90.00°
Positions (direct):
K: 0.0000 0.0000 0.0000
K: 0.5000 0.5000 0.5000
Y: 0.0000 0.5000 0.2500
Y: 0.5000 0.0000 0.7500
Pt: 0.0000 0.0000 0.5000
Pt: 0.0000 0.5000 0.7500
Pt: 0.5000 0.0000 0.2500
Pt: 0.5000 0.5000 0.0000

***

First-principles (PBE-GGA) data for crystalline K3YPt at its relaxed geometry, as listed in Alexandria.

Calculated values
ΔE to the lowest computed polymorph	814	meV/atom

a = 6.6318 Å, b = 6.6318 Å, c = 6.6318 Å
α = 90.00°, β = 90.00°, γ = 90.00°
Positions (direct):
K: 0.0000 0.0000 0.5000
K: 0.0000 0.5000 0.0000
K: 0.5000 0.0000 0.0000
Y: 0.0000 0.0000 0.0000
Pt: 0.5000 0.5000 0.5000

***

First-principles (PBE-GGA) data for crystalline K2YPt at its relaxed geometry, as listed in Alexandria.

Calculated values
ΔE to the lowest computed polymorph	383	meV/atom

a = 4.3281 Å, b = 4.3281 Å, c = 6.3001 Å
α = 90.00°, β = 90.00°, γ = 90.00°
Positions (direct):
K: 0.0000 0.5000 0.0000
K: 0.5000 0.0000 0.0000
Y: 0.0000 0.0000 0.5000
Pt: 0.5000 0.5000 0.5000

***

First-principles (PBE-GGA) data for crystalline K2YPt at its relaxed geometry, as listed in Alexandria.

Calculated values
ΔE to the lowest computed polymorph	659	meV/atom

a = 4.0501 Å, b = 5.4456 Å, c = 5.9468 Å
α = 90.00°, β = 90.00°, γ = 90.00°
Positions (direct):
K: 0.0000 0.0000 0.2299
K: 0.0000 0.0000 0.7701
Y: 0.5000 0.5000 0.5000
Pt: 0.5000 0.5000 0.0000

***

First-principles (PBE-GGA) data for crystalline KY2Pt at its relaxed geometry, as listed in Alexandria.

Calculated values
ΔE to the lowest computed polymorph	565	meV/atom

a = 7.1577 Å, b = 7.1682 Å, c = 4.0755 Å
α = 90.00°, β = 90.00°, γ = 90.00°
Positions (direct):
K: 0.0000 0.0000 0.0000
K: 0.5000 0.5000 0.0000
Y: 0.2500 0.2500 0.5000
Y: 0.2500 0.7500 0.5000
Y: 0.7500 0.2500 0.5000
Y: 0.7500 0.7500 0.5000
Pt: 0.0000 0.5000 0.0000
Pt: 0.5000 0.0000 0.0000

***

First-principles (PBE-GGA) data for crystalline KYPt2 at its relaxed geometry, as listed in Alexandria.

a = 3.4042 Å, b = 5.0030 Å, c = 10.8726 Å
α = 90.00°, β = 90.00°, γ = 90.00°
Positions (direct):
K: 0.0000 0.0000 0.0000
K: 0.5000 0.5000 0.5000
Y: 0.0000 0.5000 0.1997
Y: 0.5000 0.0000 0.6997
Pt: 0.0000 0.0000 0.4912
Pt: 0.0000 0.5000 0.7845
Pt: 0.5000 0.0000 0.2845
Pt: 0.5000 0.5000 0.9912

***

First-principles (PBE-GGA) data for crystalline KYPt2 at its relaxed geometry, as listed in Alexandria.

a = 4.0451 Å, b = 4.0451 Å, c = 23.5621 Å
α = 90.00°, β = 90.00°, γ = 120.00°
Positions (direct):
K: 0.0000 0.0000 0.0000
K: 0.3333 0.6667 0.6667
K: 0.6667 0.3333 0.3333
Y: 0.0000 0.0000 0.5000
Y: 0.3333 0.6667 0.1667
Y: 0.6667 0.3333 0.8333
Pt: 0.0000 0.0000 0.2346
Pt: 0.0000 0.0000 0.7654
Pt: 0.3333 0.6667 0.4320
Pt: 0.3333 0.6667 0.9013
Pt: 0.6667 0.3333 0.0987
Pt: 0.6667 0.3333 0.5680

***

First-principles (PBE-GGA) data for crystalline KYPt2 at its relaxed geometry, as listed in Alexandria.

a = 2.9966 Å, b = 5.2539 Å, c = 5.8511 Å
α = 90.00°, β = 90.00°, γ = 90.00°
Positions (direct):
K: 0.0000 0.0000 0.0000
Y: 0.5000 0.5000 0.5691
Pt: 0.0000 0.0000 0.4969
Pt: 0.5000 0.5000 0.0791

***

no.,mass density (g/cm³),ΔE_f (meV per atom)
1,9.95,-268
2,2.28,1404
3,5.10,63
4,4.59,339
5,6.54,77
6,9.29,-307
7,7.73,-475
8,9.34,-177